Here is a relaxed structure of HfInAg from Alexandria. Energies are from GGA-PBE.

The space group is P1 (No. 1) and the conventional cell measures 3.134, 6.128 and 7.119 Å, with angles of 76.80, 77.38 and 75.26 degrees. Symmetry generates all atoms from Hf at (0.000, 0.000, 0.000), Hf at (0.265, 0.130, 0.340), In at (0.271, 0.486, 0.973), In at (0.530, 0.630, 0.319), Ag at (0.536, 0.278, 0.651) and Ag at (0.772, 0.792, 0.665).

For the formation energy, the calculation gives -0.0261 eV/atom. The theoretical density comes out at 10.50 g/cm3.

---

Here is a relaxed structure of Ce2PrLu from Alexandria. Energies are from GGA-PBE.

The space group is P4/mmm (No. 123) and the conventional cell measures 4.913, 4.913 and 5.115 Å, with angles of 90.00, 90.00 and 90.00 degrees. Symmetry generates all atoms from Ce at (0.000, 0.500, 0.000), Pr at (0.000, 0.000, 0.500) and Lu at (0.500, 0.500, 0.500).

For the formation energy, the calculation gives 0.1075 eV/atom. The theoretical density comes out at 8.02 g/cm3. The excess energy over the best structure of this formula in the dataset is 0.0000 eV per atom.

---

Here is a relaxed structure of Rb2BiPtPb6 from Alexandria. Energies are from GGA-PBE.

The space group is R-3m (No. 166, hexagonal axes) and the conventional cell measures 7.6365, 7.6365 and 45.0648 Å, with angles of 90.00, 90.00 and 120.00 degrees. Symmetry generates all atoms from Rb at (0.0000, 0.0000, 0.1048), Rb at (0.0000, 0.0000, 0.2743), Bi at (0.0000, 0.0000, 0.4238), Pt at (0.0000, 0.0000, 0.0000), Pt at (0.0000, 0.0000, 0.5000), Pb at (0.0412, 0.5206, 0.8620) and Pb at (0.0502, 0.5251, 0.3070).

For the formation energy, the calculation gives -0.0952 eV/atom. The theoretical density comes out at 7.96 g/cm3.

---

Here is a relaxed structure of CaCd2Mo from Alexandria. Energies are from GGA-PBE.

The space group is Fm-3m (No. 225) and the conventional cell measures 7.113, 7.113 and 7.113 Å, with angles of 90.00, 90.00 and 90.00 degrees. Symmetry generates all atoms from Ca at (0.000, 0.000, 0.000), Cd at (0.250, 0.250, 0.250) and Mo at (0.000, 0.000, 0.500).

For the formation energy, the calculation gives 0.3750 eV/atom. The theoretical density comes out at 6.66 g/cm3. The excess energy over the best structure of this formula in the dataset is 0.0824 eV per atom.

---

Here is a relaxed structure of LaBi2ClO4 from Alexandria. Energies are from GGA-PBE.

The space group is P4/mmm (No. 123) and the conventional cell measures 3.987, 3.987 and 9.249 Å, with angles of 90.00, 90.00 and 90.00 degrees. Symmetry generates all atoms from La at (0.000, 0.000, 0.000), Bi at (0.500, 0.500, 0.281), Cl at (0.000, 0.000, 0.500) and O at (0.000, 0.500, 0.164).

As for the raw formation energy: -2003.8 meV per atom. The theoretical density comes out at 7.41 g/cm3.